No. 1
A relaxed MnNbH3 crystal, computed with PBE-GGA.

Cell: 3.330 3.330 3.330 Å, 90.00 90.00 90.00°
Site moments in Bohr magnetons follow the coordinates.
Atoms (fractional coordinates):
H: 0.000 0.500 0.000  -0.01
H: 0.000 0.000 0.500  -0.01
H: 0.500 0.000 0.000  0.00
Nb: 0.500 0.500 0.500  0.14
Mn: 0.000 0.000 0.000  1.91

Properties
Uncorrected energy in hartree per atom: -0.2151
Spin magnetization in Bohr magnetons per cell: 2.09

No. 2
A relaxed NaAc3Pt crystal, computed with PBE-GGA.

Cell: 6.020 6.020 6.020 Å, 90.00 90.00 90.00°
Atoms (fractional coordinates):
Na: 0.500 0.500 0.500
Ac: 0.000 0.500 0.000
Ac: 0.000 0.000 0.500
Ac: 0.500 0.000 0.000
Pt: 0.000 0.000 0.000

Properties
Uncorrected energy in hartree per atom: -0.1579
Spin magnetization in Bohr magnetons per cell: 0.00

No. 3
A relaxed NbFe3Sn crystal, computed with PBE-GGA.

Cell: 4.660 4.660 4.660 Å, 90.00 90.00 90.00°
Site moments in Bohr magnetons follow the coordinates.
Atoms (fractional coordinates):
Nb: 0.500 0.500 0.500  -1.92
Sn: 0.000 0.000 0.000  -0.10
Fe: 0.000 0.500 0.000  2.63
Fe: 0.000 0.000 0.500  2.77
Fe: 0.500 0.000 0.000  2.55

Properties
Uncorrected energy in hartree per atom: -0.2340
Spin magnetization in Bohr magnetons per cell: 5.37
E above lowest polymorph in meV/atom: 236

No. 4
A relaxed CaAl4B3O12 crystal, computed with PBE-GGA.

Cell: 5.973 5.973 5.973 Å, 109.47 109.47 109.47°
Site moments in Bohr magnetons follow the coordinates.
Atoms (fractional coordinates):
Ca: 0.000 0.000 0.000  0.00
Al: 0.500 0.000 0.000  0.00
Al: 0.500 0.500 0.500  0.00
Al: 0.000 0.500 0.000  0.00
Al: 0.000 0.000 0.500  0.00
B: 0.000 0.500 0.500  -0.01
B: 0.500 0.500 0.000  -0.01
B: 0.500 0.000 0.500  -0.01
O: 0.331 0.841 0.172  0.06
O: 0.669 0.159 0.828  0.06
O: 0.669 0.841 0.509  0.06
O: 0.828 0.669 0.159  0.06
O: 0.841 0.172 0.331  0.06
O: 0.159 0.491 0.331  0.06
O: 0.491 0.331 0.159  0.06
O: 0.159 0.828 0.669  0.06
O: 0.331 0.159 0.491  0.06
O: 0.172 0.331 0.841  0.06
O: 0.841 0.509 0.669  0.06
O: 0.509 0.669 0.841  0.06

Properties
ΔE_f (raw) in eV/atom: -2.156
Uncorrected energy in hartree per atom: -0.2565
Spin magnetization in Bohr magnetons per cell: 0.74

No. 5
A relaxed Sr2PrCu crystal, computed with PBE-GGA.

Cell: 3.946 3.946 11.769 Å, 80.35 80.35 60.00°
Atoms (fractional coordinates):
Pr: 0.000 0.000 0.000
Sr: 0.109 0.109 0.673
Sr: 0.891 0.891 0.327
Cu: 0.500 0.500 0.500

Properties
Uncorrected energy in hartree per atom: -0.1017
Spin magnetization in Bohr magnetons per cell: 0.00

No. 6
A relaxed TbAg4Pb crystal, computed with PBE-GGA.

Cell: 5.681 5.681 5.681 Å, 60.00 60.00 60.00°
Atoms (fractional coordinates):
Pb: 0.000 0.000 0.000
Tb: 0.250 0.250 0.250
Ag: 0.625 0.625 0.126
Ag: 0.625 0.126 0.625
Ag: 0.625 0.625 0.625
Ag: 0.126 0.625 0.625

Properties
Uncorrected energy in hartree per atom: -0.1264
Spin magnetization in Bohr magnetons per cell: 0.00
E above lowest polymorph in meV/atom: 0

No. 7
A relaxed Ti2AlSnH crystal, computed with PBE-GGA.

Cell: 4.090 4.090 4.296 Å, 90.00 90.00 90.00°
Atoms (fractional coordinates):
H: 0.000 0.000 0.000
Al: 0.000 0.000 0.500
Sn: 0.500 0.500 0.500
Ti: 0.000 0.500 0.000
Ti: 0.500 0.000 0.000

Properties
Uncorrected energy in hartree per atom: -0.2064
Spin magnetization in Bohr magnetons per cell: 0.00

No. 8
A relaxed NbIrS2N crystal, computed with PBE-GGA.

Cell: 4.848 4.848 3.630 Å, 90.00 90.00 90.00°
Site moments in Bohr magnetons follow the coordinates.
Atoms (fractional coordinates):
Nb: 0.500 0.500 0.500  2.07
Ir: 0.000 0.000 0.000  0.06
S: 0.000 0.500 0.000  -0.08
S: 0.500 0.000 0.000  -0.08
N: 0.000 0.000 0.500  0.03

Properties
ΔE_f (raw) in eV/atom: 0.518
Uncorrected energy in hartree per atom: -0.2420
Spin magnetization in Bohr magnetons per cell: 2.41
E above lowest polymorph in meV/atom: 0